[1]
Tb8ZnBi2 (PBE, optimized geometry); calculated total energy = -49.1 eV/cell; calculated volume = 29.814 A^3/atom; space group = No. 12; density of states at the Fermi level = 11.6 states/eV per cell; formation energy from the elements = -0.278 eV/atom; size of the total moment = 0.021 μB per formula unit
1.0
9.624 -2.532 0.000
9.624 2.532 0.000
-1.484 0.000 6.728
Tb Zn Bi
8 1 2
Direct
0.011 0.011 0.272 Tb
0.214 0.214 0.837 Tb
0.348 0.348 0.476 Tb
0.409 0.409 0.019 Tb
0.591 0.591 0.981 Tb
0.652 0.652 0.524 Tb
0.786 0.786 0.163 Tb
0.989 0.989 0.728 Tb
0.500 0.500 0.500 Zn
0.180 0.180 0.276 Bi
0.820 0.820 0.724 Bi

=====

[2]
Tb2ZnBi (PBE, optimized geometry); calculated total energy = -14.7 eV/cell; calculated volume = 29.359 A^3/atom; space group = No. 166; density of states at the Fermi level = 3.6 states/eV per cell; formation energy from the elements = -0.075 eV/atom; size of the total moment = 0.000 μB per formula unit
1.0
1.770 1.022 10.822
-1.770 1.022 10.822
0.000 -2.044 10.822
Tb Zn Bi
2 1 1
Direct
0.098 0.098 0.098 Tb
0.902 0.902 0.902 Tb
0.500 0.500 0.500 Zn
0.000 0.000 0.000 Bi

=====

[3]
Tb7Zn2Bi2 (PBE, optimized geometry); calculated total energy = -44.2 eV/cell; calculated volume = 31.331 A^3/atom; space group = No. 65; density of states at the Fermi level = 14.4 states/eV per cell; formation energy from the elements = -0.132 eV/atom; size of the total moment = 0.000 μB per formula unit
1.0
4.630 -5.510 0.000
4.630 5.510 0.000
0.000 0.000 6.754
Tb Zn Bi
7 2 2
Direct
0.000 0.000 0.000 Tb
0.000 0.500 0.251 Tb
0.000 0.500 0.749 Tb
0.500 0.000 0.251 Tb
0.500 0.000 0.749 Tb
0.500 0.500 0.240 Tb
0.500 0.500 0.760 Tb
0.275 0.725 0.000 Zn
0.725 0.275 0.000 Zn
0.194 0.194 0.500 Bi
0.806 0.806 0.500 Bi

=====

[4]
Tb5ZnBi2 (PBE, optimized geometry); calculated total energy = -68.2 eV/cell; calculated volume = 30.090 A^3/atom; space group = No. 63; density of states at the Fermi level = 13.5 states/eV per cell; formation energy from the elements = -0.241 eV/atom; size of the total moment = 0.000 μB per formula unit
1.0
2.874 -5.859 0.000
2.874 5.859 0.000
0.000 0.000 14.296
Tb Zn Bi
10 2 4
Direct
0.072 0.928 0.604 Tb
0.072 0.928 0.896 Tb
0.377 0.623 0.552 Tb
0.377 0.623 0.948 Tb
0.427 0.573 0.250 Tb
0.573 0.427 0.750 Tb
0.623 0.377 0.052 Tb
0.623 0.377 0.448 Tb
0.928 0.072 0.104 Tb
0.928 0.072 0.396 Tb
0.285 0.715 0.750 Zn
0.715 0.285 0.250 Zn
0.202 0.798 0.122 Bi
0.202 0.798 0.378 Bi
0.798 0.202 0.622 Bi
0.798 0.202 0.878 Bi

=====

[5]
Tb5Zn2Bi (PBE, optimized geometry); calculated total energy = -65.7 eV/cell; calculated volume = 27.217 A^3/atom; space group = No. 140; density of states at the Fermi level = 11.2 states/eV per cell; formation energy from the elements = -0.408 eV/atom; size of the total moment = 0.000 μB per formula unit
1.0
-4.126 4.126 6.394
4.126 -4.126 6.394
4.126 4.126 -6.394
Tb Zn Bi
10 4 2
Direct
0.000 0.000 0.000 Tb
0.009 0.509 0.803 Tb
0.207 0.009 0.500 Tb
0.293 0.793 0.803 Tb
0.491 0.293 0.500 Tb
0.500 0.500 0.000 Tb
0.509 0.707 0.500 Tb
0.707 0.207 0.197 Tb
0.793 0.991 0.500 Tb
0.991 0.491 0.197 Tb
0.142 0.358 0.500 Zn
0.358 0.858 0.215 Zn
0.642 0.142 0.785 Zn
0.858 0.642 0.500 Zn
0.250 0.250 0.000 Bi
0.750 0.750 0.000 Bi

=====

[6]
TbZnBi (PBE, optimized geometry); calculated total energy = -21.8 eV/cell; calculated volume = 26.888 A^3/atom; space group = No. 12; density of states at the Fermi level = 2.1 states/eV per cell; formation energy from the elements = -0.380 eV/atom; size of the total moment = 0.000 μB per formula unit
1.0
3.142 -3.157 0.000
3.142 3.157 0.000
-3.120 0.000 8.131
Tb Zn Bi
2 2 2
Direct
0.172 0.172 0.345 Tb
0.828 0.828 0.655 Tb
0.206 0.206 0.000 Zn
0.794 0.794 0.000 Zn
0.366 0.366 0.731 Bi
0.634 0.634 0.269 Bi

=====

Among the records above, which one has the lowest formation energy from the elements? Tb5Zn2Bi